{
  "formula": "Pm6GaGe2I3",
  "functional": "GGA-PBE",
  "state": "relaxed",
  "lattice_angstrom": [[-1.6507, -7.3482, -0.4972], [1.4758, 3.0921, 6.7252], [-7.2637, 3.0030, -1.1966]],
  "species": ["Pm", "Pm", "Pm", "Pm", "Pm", "Pm", "Ga", "Ge", "Ge", "I", "I", "I"],
  "fractional_positions": [[0.9328, 0.5993, 0.7980], [0.7339, 0.7339, 0.2022], [0.0672, 0.4007, 0.2020], [0.5993, 0.9328, 0.7980], [0.2661, 0.2661, 0.7978], [0.4007, 0.0672, 0.2020], [0.0000, 0.0000, 0.0000], [0.3335, 0.6665, 0.0000], [0.6665, 0.3335, 0.0000], [0.1672, 0.8328, 0.5000], [0.8328, 0.1672, 0.5000], [0.5000, 0.5000, 0.5000]],
  "magnetic_moment_mub_per_fu": 0.0,
  "formation_energy_uncorrected_mev_per_atom": -937,
  "e_tot_ev_per_atom": -4.7214
}

{
  "formula": "La2SbTe",
  "functional": "GGA-PBE",
  "state": "relaxed",
  "lattice_angstrom": [[7.9541, -0.0207, -0.0126], [6.6268, 4.3993, -0.0126], [6.6268, 1.9900, 3.9235]],
  "species": ["Sb", "Te", "La", "La"],
  "fractional_positions": [[0.2500, 0.2500, 0.2500], [0.7500, 0.7500, 0.7500], [0.9974, 0.9974, 0.9974], [0.5026, 0.5026, 0.5026]],
  "magnetic_moment_mub_per_fu": 0.0,
  "formation_energy_uncorrected_mev_per_atom": -1476,
  "e_tot_ev_per_atom": -5.7559
}

{
  "formula": "Hg12PbAu7",
  "functional": "GGA-PBE",
  "state": "relaxed",
  "lattice_angstrom": [[6.5466, -0.2717, 1.8970], [-3.5770, 7.9672, 2.8772], [-0.2807, -0.7375, 9.2439]],
  "species": ["Hg", "Hg", "Hg", "Hg", "Hg", "Hg", "Hg", "Hg", "Hg", "Hg", "Hg", "Hg", "Pb", "Au", "Au", "Au", "Au", "Au", "Au", "Au"],
  "fractional_positions": [[0.5729, 0.3895, 0.2509], [0.1729, 0.8034, 0.6351], [0.2708, 0.1006, 0.2207], [0.5154, 0.8723, 0.3183], [0.7683, 0.4935, 0.5778], [0.7637, 0.3552, 0.9063], [0.2363, 0.6448, 0.0937], [0.2317, 0.5065, 0.4222], [0.4846, 0.1277, 0.6817], [0.7292, 0.8994, 0.7793], [0.8271, 0.1966, 0.3649], [0.4271, 0.6105, 0.7491], [0.0000, 0.0000, 0.0000], [0.1168, 0.3349, 0.0384], [0.8499, 0.8599, 0.4767], [0.1804, 0.3073, 0.7303], [0.5000, 0.0000, 0.0000], [0.8196, 0.6927, 0.2697], [0.1501, 0.1401, 0.5233], [0.8832, 0.6651, 0.9616]],
  "formation_enthalpy_0k_ev_per_atom": 0.060,
  "magnetic_moment_mub_per_fu": 0.0,
  "e_tot_ev_per_atom": -1.4534
}

{
  "formula": "ScCd3Ag4",
  "functional": "GGA-PBE",
  "state": "relaxed",
  "lattice_angstrom": [[3.0044, 0.0000, 0.0000], [0.0000, 5.6122, 1.2199], [-1.5022, 34.4679, 17.2178]],
  "species": ["Sc", "Cd", "Cd", "Cd", "Ag", "Ag", "Ag", "Ag"],
  "fractional_positions": [[0.5000, 0.0000, 0.0000], [0.0000, 0.5000, 0.0000], [0.1341, 0.5060, 0.2683], [0.8659, 0.4940, 0.7317], [0.7377, 0.4352, 0.4754], [0.2623, 0.5648, 0.5246], [0.1240, 0.1520, 0.2480], [0.8760, 0.8480, 0.7520]],
  "formation_enthalpy_0k_ev_per_atom": -0.040,
  "magnetic_moment_mub_per_fu": 0.2,
  "e_tot_ev_per_atom": -2.6002
}

{
  "formula": "Ca2TcAs",
  "functional": "GGA-PBE",
  "state": "relaxed",
  "lattice_angstrom": [[-2.0934, 2.4604, 3.6227], [-4.8392, 0.2134, 0.3103], [-2.3127, -2.3877, 3.5369]],
  "species": ["As", "Ca", "Ca", "Tc"],
  "fractional_positions": [[0.5000, 0.5000, 0.5000], [0.0000, 0.0000, 0.0000], [0.2500, 0.2500, 0.2500], [0.7500, 0.7500, 0.7500]],
  "formation_enthalpy_0k_ev_per_atom": 0.123,
  "magnetic_moment_mub_per_fu": 1.7,
  "e_tot_ev_per_atom": -4.6318
}

{
  "formula": "SrZrBe",
  "functional": "GGA-PBE",
  "state": "relaxed",
  "lattice_angstrom": [[-4.2289, 1.7772, -1.4714], [-3.5251, 0.7813, 3.1891], [-1.2505, 4.5074, 1.1521]],
  "species": ["Sr", "Zr", "Be"],
  "fractional_positions": [[0.0000, 0.0000, 0.0000], [0.5000, 0.5000, 0.5000], [0.7500, 0.7500, 0.7500]],
  "formation_enthalpy_0k_ev_per_atom": 0.848,
  "magnetic_moment_mub_per_fu": 0.0,
  "e_tot_ev_per_atom": -3.8043
}

{
  "formula": "Y3BF",
  "functional": "GGA-PBE",
  "state": "relaxed",
  "lattice_angstrom": [[4.6549, 0.0000, 0.0000], [0.0000, 4.6549, 0.0000], [0.0000, 0.0000, 4.6549]],
  "species": ["Y", "Y", "Y", "B", "F"],
  "fractional_positions": [[0.0000, 0.5000, 0.0000], [0.0000, 0.0000, 0.5000], [0.5000, 0.0000, 0.0000], [0.5000, 0.5000, 0.5000], [0.0000, 0.0000, 0.0000]],
  "magnetic_moment_mub_per_fu": 0.0,
  "formation_energy_uncorrected_mev_per_atom": -328,
  "e_tot_ev_per_atom": -5.9162
}

{
  "formula": "CdIn2Br",
  "functional": "GGA-PBE",
  "state": "relaxed",
  "lattice_angstrom": [[4.0679, 0.0000, 0.0000], [0.0000, 4.0679, 0.0000], [0.0000, 0.0000, 6.9673]],
  "species": ["Cd", "Br", "In", "In"],
  "fractional_positions": [[0.5000, 0.5000, 0.7500], [0.5000, 0.5000, 0.2500], [0.0000, 0.0000, 0.9862], [0.0000, 0.0000, 0.5138]],
  "magnetic_moment_mub_per_fu": 0.0,
  "formation_energy_uncorrected_mev_per_atom": -158,
  "e_tot_ev_per_atom": -2.1746
}